[1]
Here is a geometry-optimized Mg2AgPd2 structure from the Alexandria database. Energies are from PBE.

```
Mg2AgPd2
1.0
-2.0293 2.0293 5.8534
2.0293 -2.0293 5.8534
2.0293 2.0293 -5.8534
Mg Ag Pd
2 1 2
direct
0.2500 0.7500 0.5000 Mg
0.7500 0.2500 0.5000 Mg
0.0000 0.0000 0.0000 Ag
0.3903 0.3903 0.0000 Pd
0.6097 0.6097 0.0000 Pd
```

Fermi-level density of states: 0.27 states/eV per atom
Distance to the lowest polymorph of the same formula: 342 meV/atom

[2]
Here is a geometry-optimized YCr2Mo structure from the Alexandria database. Energies are from PBE.

```
YCr2Mo
1.0
4.5705 0.0000 0.0000
0.0000 4.5705 0.0000
0.0000 0.0000 3.2032
Y Cr Mo
1 2 1
direct
0.0000 0.0000 0.0000 Y
0.0000 0.5000 0.5000 Cr
0.5000 0.0000 0.5000 Cr
0.5000 0.5000 0.0000 Mo
```

Fermi-level density of states: 0.87 states/eV per atom
Distance to the lowest polymorph of the same formula: 202 meV/atom

[3]
Here is a geometry-optimized LaPmSmTh structure from the Alexandria database. Energies are from PBE.

```
LaPmSmTh
1.0
3.6175 0.0000 0.0000
0.0000 3.6175 0.0000
0.0000 0.0000 10.5096
La Pm Sm Th
1 1 1 1
direct
0.0000 0.0000 0.0000 La
0.5000 0.5000 0.7333 Pm
0.5000 0.5000 0.2649 Sm
0.0000 0.0000 0.4985 Th
```

Fermi-level density of states: 1.28 states/eV per atom
Distance to the lowest polymorph of the same formula: 0 meV/atom

[4]
Here is a geometry-optimized Th4RuRhSe2 structure from the Alexandria database. Energies are from PBE.

```
Th4RuRhSe2
1.0
7.1001 0.0000 0.0000
0.0000 4.1049 0.0000
-2.3700 0.0000 7.3688
Th Ru Rh Se
4 1 1 2
direct
0.2357 0.0000 0.2161 Th
0.2566 0.5000 0.7836 Th
0.7434 0.5000 0.2164 Th
0.7643 0.0000 0.7839 Th
0.0000 0.5000 0.0000 Ru
0.5000 0.0000 0.0000 Rh
0.0000 0.0000 0.5000 Se
0.5000 0.5000 0.5000 Se
```

Fermi-level density of states: 0.68 states/eV per atom
VASP energy: -62.46 eV for the cell shown

[5]
Here is a geometry-optimized Hg2H6IrPd structure from the Alexandria database. Energies are from PBE.

```
Hg2H6IrPd
1.0
4.7556 0.0000 0.0000
-1.3210 4.7451 0.0000
-0.0335 -0.0800 4.9782
Hg H Ir Pd
2 6 1 1
direct
0.2105 0.0391 0.2921 Hg
0.7895 0.9609 0.7079 Hg
0.2607 0.5815 0.7723 H
0.2850 0.6073 0.2406 H
0.3182 0.1679 0.9069 H
0.6818 0.8321 0.0931 H
0.7150 0.3927 0.7594 H
0.7393 0.4185 0.2277 H
0.5000 0.5000 0.0000 Ir
0.0000 0.5000 0.5000 Pd
```

Fermi-level density of states: 0.17 states/eV per atom
VASP energy: -33.43 eV for the cell shown

Question: What is the Fermi-level density of states in the second record?
Answer: 0.87 states/eV per atom

Question: The highest Fermi-level density of states belongs to which entry?
Answer: LaPmSmTh

Repeat the first record exactly.
Here is a geometry-optimized Mg2AgPd2 structure from the Alexandria database. Energies are from PBE.

```
Mg2AgPd2
1.0
-2.0293 2.0293 5.8534
2.0293 -2.0293 5.8534
2.0293 2.0293 -5.8534
Mg Ag Pd
2 1 2
direct
0.2500 0.7500 0.5000 Mg
0.7500 0.2500 0.5000 Mg
0.0000 0.0000 0.0000 Ag
0.3903 0.3903 0.0000 Pd
0.6097 0.6097 0.0000 Pd
```

Fermi-level density of states: 0.27 states/eV per atom
Distance to the lowest polymorph of the same formula: 342 meV/atom